1.
Pm3Sm4Ho5 PBE optimized geometry; V = 32.68 Å³ per atom; ΔH_f (0 K) = 0.2 eV/f.u.; polymorph energy (0 for the lowest one) = 0.0000 eV per atom
1.0
6.9274 -0.4119 1.8359
-5.2254 7.5391 -6.6879
4.1170 -3.9268 11.6238
Ho Pm Sm
5 3 4
Cartesian
2.2503 1.6054 5.8550
5.5222 -2.1693 6.7299
2.5866 3.4623 -1.9650
3.5687 1.5951 0.9168
3.2324 -0.2619 8.7368
1.2824 3.5029 2.9429
2.0585 -1.9634 5.8119
4.5366 -0.3025 3.8288
5.7180 1.3900 6.7626
1.0792 -0.0990 2.9107
0.1010 1.8104 0.0092
4.7398 3.2994 3.8611

=====

2.
SrSi2Rh PBE optimized geometry; V = 18.60 Å³ per atom; formation energy from raw total energies = -361.8 meV per atom
1.0
-1.1385 0.6836 2.9843
-3.0299 -0.6825 -0.9995
0.8866 -6.6685 1.8658
Sr Si Rh
1 2 1
Cartesian
-1.8625 -1.6666 1.4589
0.8220 -6.1822 1.7297
0.5080 -3.8206 1.0690
-1.4192 -5.0008 2.3918

=====

3.
Nd5InBi2 PBE optimized geometry; V = 30.73 Å³ per atom; ΔH_f (0 K) = -3.7 eV/f.u.
1.0
-3.1061 8.2655 3.1759
-5.3314 -3.3687 3.5532
6.3803 -2.7456 -0.4767
Nd Bi In
5 2 1
Cartesian
-0.0685 0.9432 4.4090
2.5976 2.6283 2.6328
1.4843 -3.1889 2.8212
-3.2586 2.3162 4.6476
4.1509 -1.5050 1.0445
-1.7060 -1.8167 3.0600
-0.5929 4.0007 2.8706
0.9606 -0.1319 1.2829

=====

no.,N(E_F) (states/eV/f.u.)
1,15.50
2,1.68
3,8.85